Below is crystalline PmEu2N at its relaxed geometry, with properties calculated at the PBE level.

Cell: 10.299 10.299 10.299 Å, 20.01 20.01 20.01°
Element x y z (fractional)
Pm  0.000  0.000  0.000
Eu  0.120  0.120  0.120
Eu  0.880  0.880  0.880
N  0.500  0.500  0.500

Summary:
**Uncorrected formation energy**: -1.8 eV/f.u.
**SG**: No. 166
**Total magnetization**: 14.0 μB/f.u.
**Fermi-level density of states**: 1.891 states/eV/atom